Material: LiCuNi2
Method: DFT, GGA-PBEsol
State: relaxed

Cell: 3.9211 3.9211 3.9211 Å, 60.00 60.00 60.00°
Positions (direct):
Li1 0.2500 0.2500 0.2500
Ni1 0.7500 0.7500 0.7500
Ni2 0.0000 0.0000 0.0000
Cu1 0.5000 0.5000 0.5000

Properties
space-group type	F-43m
DFT formation energy	1.569	kcal/mol of atoms